1.
# AcDyBr | the Alexandria database | PBE-GGA | optimized geometry
data_AcDyBr
_cell_length_a 3.8611
_cell_length_b 3.8611
_cell_length_c 7.9505
_cell_angle_alpha 90.00
_cell_angle_beta 90.00
_cell_angle_gamma 120.00
_space_group_name_H-M_alt 'P 1'
_space_group_IT_number 1
_space_group_name_Hall 'P 1'
loop_
_atom_site_label
_atom_site_type_symbol
_atom_site_fract_x
_atom_site_fract_y
_atom_site_fract_z
_atom_site_occupancy
Ac1 Ac 0.0000 0.0000 0.0000 1
Dy1 Dy 0.6667 0.3333 0.3694 1
Br1 Br 0.3333 0.6667 0.6384 1
# Uncorrected formation energy, meV per atom: -716
# Raw total energy, eV/atom: -4.18
# Volume, Å³/f.u.: 102.6

2.
# PmSm12Dy6 | the Alexandria database | PBE-GGA | optimized geometry
data_PmSm12Dy6
_cell_length_a 8.7930
_cell_length_b 8.7930
_cell_length_c 8.7930
_cell_angle_alpha 98.81
_cell_angle_beta 98.81
_cell_angle_gamma 98.81
_space_group_name_H-M_alt 'P 1'
_space_group_IT_number 1
_space_group_name_Hall 'P 1'
loop_
_atom_site_label
_atom_site_type_symbol
_atom_site_fract_x
_atom_site_fract_y
_atom_site_fract_z
_atom_site_occupancy
Pm1 Pm 0.0000 0.0000 0.0000 1
Sm1 Sm 0.0832 0.3553 0.3553 1
Sm2 Sm 0.2410 0.5000 0.7590 1
Sm3 Sm 0.2410 0.7590 0.5000 1
Sm4 Sm 0.3553 0.0832 0.3553 1
Sm5 Sm 0.3553 0.3553 0.0832 1
Sm6 Sm 0.5000 0.2410 0.7590 1
Sm7 Sm 0.5000 0.7590 0.2410 1
Sm8 Sm 0.6447 0.6447 0.9168 1
Sm9 Sm 0.6447 0.9168 0.6447 1
Sm10 Sm 0.7590 0.2410 0.5000 1
Sm11 Sm 0.7590 0.5000 0.2410 1
Sm12 Sm 0.9168 0.6447 0.6447 1
Dy1 Dy 0.0982 0.0982 0.6604 1
Dy2 Dy 0.0982 0.6604 0.0982 1
Dy3 Dy 0.3396 0.9018 0.9018 1
Dy4 Dy 0.6604 0.0982 0.0982 1
Dy5 Dy 0.9018 0.3396 0.9018 1
Dy6 Dy 0.9018 0.9018 0.3396 1
# Raw total energy, eV/atom: -4.48
# ΔE_f, eV/atom: 0.20
# Volume, Å³/f.u.: 652.9
# Excess energy over the best structure of this formula in the dataset, meV/atom: 59

3.
# Na2CaHgN | the Alexandria database | PBE-GGA | optimized geometry
data_Na2CaHgN
_cell_length_a 4.9003
_cell_length_b 4.9003
_cell_length_c 4.7670
_cell_angle_alpha 90.00
_cell_angle_beta 90.00
_cell_angle_gamma 90.00
_space_group_name_H-M_alt 'P 1'
_space_group_IT_number 1
_space_group_name_Hall 'P 1'
loop_
_atom_site_label
_atom_site_type_symbol
_atom_site_fract_x
_atom_site_fract_y
_atom_site_fract_z
_atom_site_occupancy
Na1 Na 0.0000 0.5000 0.0000 1
Na2 Na 0.5000 0.0000 0.0000 1
Ca1 Ca 0.0000 0.0000 0.5000 1
Hg1 Hg 0.5000 0.5000 0.5000 1
N1 N 0.0000 0.0000 0.0000 1
# Uncorrected formation energy, meV per atom: -166
# Raw total energy, eV/atom: -2.82
# Volume, Å³/f.u.: 114.5

4.
# Th5Ni6 | the Alexandria database | PBE-GGA | optimized geometry
data_Th5Ni6
_cell_length_a 14.9110
_cell_length_b 14.9110
_cell_length_c 3.7761
_cell_angle_alpha 90.00
_cell_angle_beta 90.00
_cell_angle_gamma 164.10
_space_group_name_H-M_alt 'P 1'
_space_group_IT_number 1
_space_group_name_Hall 'P 1'
loop_
_atom_site_label
_atom_site_type_symbol
_atom_site_fract_x
_atom_site_fract_y
_atom_site_fract_z
_atom_site_occupancy
Th1 Th 0.0000 0.0000 0.0000 1
Th2 Th 0.1994 0.8006 0.5000 1
Th3 Th 0.3900 0.6100 0.0000 1
Th4 Th 0.6100 0.3900 0.0000 1
Th5 Th 0.8006 0.1994 0.5000 1
Ni1 Ni 0.0967 0.9033 0.5000 1
Ni2 Ni 0.2809 0.7191 0.0000 1
Ni3 Ni 0.4593 0.5407 0.5000 1
Ni4 Ni 0.5407 0.4593 0.5000 1
Ni5 Ni 0.7191 0.2809 0.0000 1
Ni6 Ni 0.9033 0.0967 0.5000 1
# Raw total energy, eV/atom: -6.97
# ΔE_f, eV/atom: -0.44
# Volume, Å³/f.u.: 230.0

5.
# Pm4H | the Alexandria database | PBE-GGA | optimized geometry
data_Pm4H
_cell_length_a 5.1381
_cell_length_b 5.1381
_cell_length_c 5.1381
_cell_angle_alpha 90.00
_cell_angle_beta 90.00
_cell_angle_gamma 90.00
_space_group_name_H-M_alt 'P 1'
_space_group_IT_number 1
_space_group_name_Hall 'P 1'
loop_
_atom_site_label
_atom_site_type_symbol
_atom_site_fract_x
_atom_site_fract_y
_atom_site_fract_z
_atom_site_occupancy
Pm1 Pm 0.0000 0.0000 0.0000 1
Pm2 Pm 0.0000 0.5000 0.5000 1
Pm3 Pm 0.5000 0.0000 0.5000 1
Pm4 Pm 0.5000 0.5000 0.0000 1
H1 H 0.5000 0.5000 0.5000 1
# Raw total energy, eV/atom: -4.65
# Volume, Å³/f.u.: 135.6

6.
# BeRh2Pb | the Alexandria database | PBE-GGA | optimized geometry
data_BeRh2Pb
_cell_length_a 4.9281
_cell_length_b 4.9281
_cell_length_c 4.6144
_cell_angle_alpha 107.86
_cell_angle_beta 107.86
_cell_angle_gamma 36.38
_space_group_name_H-M_alt 'P 1'
_space_group_IT_number 1
_space_group_name_Hall 'P 1'
loop_
_atom_site_label
_atom_site_type_symbol
_atom_site_fract_x
_atom_site_fract_y
_atom_site_fract_z
_atom_site_occupancy
Be1 Be 0.0000 0.0000 0.0000 1
Rh1 Rh 0.4793 0.4793 0.3595 1
Rh2 Rh 0.6975 0.6975 0.0204 1
Pb1 Pb 0.2452 0.2452 0.5689 1
# Raw total energy, eV/atom: -5.51
# ΔE_f, eV/atom: 0.03
# Volume, Å³/f.u.: 62.9
# Excess energy over the best structure of this formula in the dataset, meV/atom: 133

Which value of raw total energy does entry 4 give? -6.97 eV/atom